# 1
The following is a DFT calculation (GGA-PBE) of crystalline ZrHgRu3 at its relaxed geometry.

## Properties
The uncorrected energy is -5.418 eV per atom. The value obtained for the spin magnetization is 3.1 μB/f.u. Its mass density is 8.68 Mg/m³. As for the formation energy: 1918 meV per atom. Its excess energy over the best structure of this formula in the dataset is 397 meV per atom.

Cell: 4.8460 4.8460 4.8460 Å, 90.00 90.00 90.00°
Closest atoms and distances in Å follow each position.
Element x y z (fractional)
1 Zr 0.0000 0.0000 0.0000  12 Ru 3.43
2 Hg 0.5000 0.5000 0.5000  6 Ru 2.42
3 Ru 0.0000 0.5000 0.5000  2 Hg 2.42
4 Ru 0.5000 0.0000 0.5000  2 Hg 2.42
5 Ru 0.5000 0.5000 0.0000  2 Hg 2.42

***

# 2
The following is a DFT calculation (GGA-PBE) of crystalline NbOsAu2S at its relaxed geometry.

## Properties
The uncorrected energy is -5.337 eV per atom. The value obtained for the spin magnetization is 2.4 μB/f.u. Its uncorrected formation energy is 1060 meV/atom. Its mass density is 12.17 Mg/m³.

Cell: 4.7335 4.7335 4.3180 Å, 90.00 90.00 90.00°
Closest atoms and distances in Å follow each position.
Element x y z (fractional)
1 Nb 0.0000 0.0000 0.0000  8 Au 3.20, 4 Os 3.35
2 Os 0.5000 0.5000 0.0000  2 S 2.16
3 Au 0.0000 0.5000 0.5000  2 S 2.37
4 Au 0.5000 0.0000 0.5000  2 S 2.37
5 S 0.5000 0.5000 0.5000  2 Os 2.16, 4 Au 2.37

***

# 3
The following is a DFT calculation (GGA-PBE) of crystalline ZnMo2Rh3 at its relaxed geometry.

## Properties
The uncorrected energy is -7.769 eV per atom. The value obtained for the spin magnetization is 0.0 μB/f.u. Its mass density is 10.77 Mg/m³. As for the formation energy: -271 meV per atom.

Cell: 2.7981 2.7981 11.1413 Å, 90.00 90.00 90.00°
Closest atoms and distances in Å follow each position.
Element x y z (fractional)
1 Zn 0.0000 0.0000 0.0000  8 Rh 2.67, 4 Zn 2.80
2 Mo 0.0000 0.0000 0.3256  8 Rh 2.70-2.77, 4 Mo 2.80
3 Mo 0.0000 0.0000 0.6744  8 Rh 2.70-2.77, 4 Mo 2.80
4 Rh 0.5000 0.5000 0.1612  4 Zn 2.67, 4 Mo 2.70, 4 Rh 2.80
5 Rh 0.5000 0.5000 0.5000  8 Mo 2.77, 4 Rh 2.80
6 Rh 0.5000 0.5000 0.8388  4 Zn 2.67, 4 Mo 2.70, 4 Rh 2.80

***

# 4
The following is a DFT calculation (GGA-PBE) of crystalline ScBeI2 at its relaxed geometry.

## Properties
The uncorrected energy is -2.986 eV per atom. The value obtained for the spin magnetization is 0.0 μB/f.u. Its uncorrected formation energy is 304 meV/atom. Its mass density is 4.38 Mg/m³. Its excess energy over the best structure of this formula in the dataset is 101 meV per atom.

Cell: 6.3194 6.3194 11.6879 Å, 90.00 90.00 90.00°
Closest atoms and distances in Å follow each position.
Element x y z (fractional)
1 Sc 0.0000 0.0000 0.0000  4 I 2.88
2 Sc 0.0000 0.5000 0.2500  4 I 2.88
3 Sc 0.5000 0.0000 0.7500  4 I 2.88
4 Sc 0.5000 0.5000 0.5000  4 I 2.88
5 Be 0.0000 0.0000 0.5000  4 I 2.49
6 Be 0.0000 0.5000 0.7500  4 I 2.49
7 Be 0.5000 0.0000 0.2500  4 I 2.49
8 Be 0.5000 0.5000 0.0000  4 I 2.49
9 I 0.1978 0.2500 0.6250  2 Be 2.49
10 I 0.2500 0.6978 0.8750  2 Be 2.49
11 I 0.2500 0.8022 0.3750  2 Be 2.49
12 I 0.3022 0.2500 0.1250  2 Be 2.49
13 I 0.6978 0.7500 0.1250  2 Be 2.49
14 I 0.7500 0.1978 0.3750  2 Be 2.49
15 I 0.7500 0.3022 0.8750  2 Be 2.49
16 I 0.8022 0.7500 0.6250  2 Be 2.49